Record 1
A plane-wave DFT calculation with GGA-PBEsol was carried out for a relaxed Eu2TiO4 crystal.

The structure in CIF format:
```
data_Eu2TiO4
_space_group_name_H-M_alt 'I 4/m m m'
_space_group_IT_number 139
_space_group_name_Hall '-I 4 2'
_cell_length_a 3.865
_cell_length_b 3.865
_cell_length_c 12.190
_cell_angle_alpha 90.00
_cell_angle_beta 90.00
_cell_angle_gamma 90.00
loop_
_atom_site_label
_atom_site_type_symbol
_atom_site_fract_x
_atom_site_fract_y
_atom_site_fract_z
Eu1 Eu 0.000 0.000 0.144
Ti1 Ti 0.000 0.000 0.500
O1 O 0.000 0.000 0.335
O2 O 0.000 0.500 0.000
```

Output
- total magnetization (μB/f.u.) = 13.853
- theoretical density (g cm⁻³) = 7.6
- energy relative to the elements, uncorrected (kJ/mol of atoms) = -303.2
- electronic total energy (eV for the cell shown) = -144.9

Record 2
A plane-wave DFT calculation with GGA-PBEsol was carried out for a relaxed KTa2Br crystal.

The structure in CIF format:
```
data_KTa2Br
_space_group_name_H-M_alt 'F m -3 m'
_space_group_IT_number 225
_space_group_name_Hall '-F 4 2 3'
_cell_length_a 6.855
_cell_length_b 6.855
_cell_length_c 6.855
_cell_angle_alpha 90.00
_cell_angle_beta 90.00
_cell_angle_gamma 90.00
loop_
_atom_site_label
_atom_site_type_symbol
_atom_site_fract_x
_atom_site_fract_y
_atom_site_fract_z
K1 K 0.000 0.000 0.000
Ta1 Ta 0.250 0.250 0.250
Br1 Br 0.000 0.000 0.500
```

Output
- total magnetization (μB/f.u.) = 0.018
- theoretical density (g cm⁻³) = 9.9
- energy relative to the elements, uncorrected (kJ/mol of atoms) = 195.6
- electronic total energy (eV for the cell shown) = -80.0